# 1
TbDy2Tm4Mg | PBE-GGA | relaxed

```
data_TbDy2Tm4Mg
_space_group_name_H-M_alt 'P 1'
_space_group_IT_number 1
_cell_length_a 6.2911
_cell_length_b 6.2911
_cell_length_c 11.4352
_cell_angle_alpha 106.71
_cell_angle_beta 106.71
_cell_angle_gamma 33.61
loop_
_space_group_symop_operation_xyz
'x,y,z'
loop_
_atom_site_label
_atom_site_type_symbol
_atom_site_fract_x
_atom_site_fract_y
_atom_site_fract_z
Tb1 Tb 0.0000 0.0000 0.0000
Dy1 Dy 0.4758 0.4758 0.7267
Dy2 Dy 0.5242 0.5242 0.2733
Tm1 Tm 0.2364 0.2364 0.8668
Tm2 Tm 0.2814 0.2814 0.3909
Tm3 Tm 0.7186 0.7186 0.6091
Tm4 Tm 0.7636 0.7636 0.1332
Mg1 Mg 0.0000 0.0000 0.5000
```

As for the space group: C2/m, No. 12. For the total energy, the calculation gives -33.17 eV/cell. The value obtained for the magnetization is 0.00 μB/f.u. Its volume is 29.87 A^3/atom. As for the density: 8.23 g/cm3.


# 2
Ba2Hg2As | PBE-GGA | relaxed

```
data_Ba2Hg2As
_space_group_name_H-M_alt 'P 1'
_space_group_IT_number 1
_cell_length_a 8.3961
_cell_length_b 8.3961
_cell_length_c 4.8497
_cell_angle_alpha 90.00
_cell_angle_beta 90.00
_cell_angle_gamma 90.00
loop_
_space_group_symop_operation_xyz
'x,y,z'
loop_
_atom_site_label
_atom_site_type_symbol
_atom_site_fract_x
_atom_site_fract_y
_atom_site_fract_z
Ba1 Ba 0.1852 0.3148 0.0000
Ba2 Ba 0.3148 0.8148 0.0000
Ba3 Ba 0.6852 0.1852 0.0000
Ba4 Ba 0.8148 0.6852 0.0000
Hg1 Hg 0.1231 0.6231 0.5000
Hg2 Hg 0.3769 0.1231 0.5000
Hg3 Hg 0.6231 0.8769 0.5000
Hg4 Hg 0.8769 0.3769 0.5000
As1 As 0.0000 0.0000 0.5000
As2 As 0.5000 0.5000 0.5000
```

As for the space group: P4/mbm, No. 127. Its polymorph energy (0 for the lowest one) is 113.9 meV per atom. The value obtained for the magnetization is 0.00 μB/f.u. Its volume is 34.19 A^3/atom. As for the density: 7.29 g/cm3.


# 3
TiCuGe2Au | PBE-GGA | relaxed

```
data_TiCuGe2Au
_space_group_name_H-M_alt 'P 1'
_space_group_IT_number 1
_cell_length_a 4.8997
_cell_length_b 4.8997
_cell_length_c 4.6929
_cell_angle_alpha 90.00
_cell_angle_beta 90.00
_cell_angle_gamma 90.00
loop_
_space_group_symop_operation_xyz
'x,y,z'
loop_
_atom_site_label
_atom_site_type_symbol
_atom_site_fract_x
_atom_site_fract_y
_atom_site_fract_z
Ti1 Ti 0.0000 0.0000 0.0000
Cu1 Cu 0.5000 0.5000 0.0000
Ge1 Ge 0.0000 0.5000 0.5000
Ge2 Ge 0.5000 0.0000 0.5000
Au1 Au 0.5000 0.5000 0.5000
```

As for the space group: P4/mmm, No. 123. For the total energy, the calculation gives -20.30 eV/cell. The value obtained for the magnetization is 0.00 μB/f.u. Its volume is 22.53 A^3/atom. As for the density: 6.69 g/cm3.